A plane-wave DFT calculation with PBE was carried out for an optimized crystal structure of CaMoPt2. Values from VASP.

Structure (Quantum ESPRESSO input):
```
&SYSTEM
  ibrav = 0, nat = 4, ntyp = 3
/
ATOMIC_SPECIES
Ca 40.08 Ca.upf
Mo 95.94 Mo.upf
Pt 195.08 Pt.upf
ATOMIC_POSITIONS angstrom
Ca 0.000 0.000 0.000
Mo 0.000 0.000 4.139
Pt 1.454 1.454 2.289
Pt 1.454 1.454 5.989
CELL_PARAMETERS angstrom
2.909 0.000 0.000
0.000 2.909 0.000
0.000 0.000 8.278
```

A plane-wave DFT calculation with PBE was carried out for an optimized crystal structure of CaMoPt. Values from VASP.

Structure (Quantum ESPRESSO input):
```
&SYSTEM
  ibrav = 0, nat = 12, ntyp = 3
/
ATOMIC_SPECIES
Ca 40.08 Ca.upf
Mo 95.94 Mo.upf
Pt 195.08 Pt.upf
ATOMIC_POSITIONS angstrom
Ca -0.934 0.000 1.834
Ca 0.980 2.239 3.724
Ca 4.063 2.239 1.834
Ca 5.978 0.000 3.724
Mo 1.146 2.239 0.333
Mo -1.100 0.000 5.226
Mo 6.143 0.000 0.333
Mo 3.898 2.239 5.226
Pt -1.928 2.239 4.064
Pt 1.974 0.000 1.494
Pt 3.070 0.000 4.064
Pt 6.971 2.239 1.494
CELL_PARAMETERS angstrom
9.996 0.000 0.000
0.000 4.479 0.000
-4.952 0.000 5.558
```

A plane-wave DFT calculation with PBE was carried out for an optimized crystal structure of Ca4MoPt. Values from VASP.

Structure (Quantum ESPRESSO input):
```
&SYSTEM
  ibrav = 0, nat = 6, ntyp = 3
/
ATOMIC_SPECIES
Ca 40.08 Ca.upf
Mo 95.94 Mo.upf
Pt 195.08 Pt.upf
ATOMIC_POSITIONS angstrom
Ca 3.263 3.263 3.263
Ca 5.425 5.425 3.263
Ca 5.425 3.263 5.425
Ca 3.263 5.425 5.425
Mo 0.000 0.000 0.000
Pt 6.516 6.516 6.516
CELL_PARAMETERS angstrom
0.000 4.344 4.344
4.344 0.000 4.344
4.344 4.344 0.000
```

A plane-wave DFT calculation with PBE was carried out for an optimized crystal structure of CaMoPt2. Values from VASP.

Structure (Quantum ESPRESSO input):
```
&SYSTEM
  ibrav = 0, nat = 8, ntyp = 3
/
ATOMIC_SPECIES
Ca 40.08 Ca.upf
Mo 95.94 Mo.upf
Pt 195.08 Pt.upf
ATOMIC_POSITIONS angstrom
Ca 0.000 0.000 0.000
Ca 5.175 1.409 0.000
Mo 1.456 0.000 2.979
Mo 6.631 1.409 2.979
Pt 2.472 1.409 0.620
Pt 4.320 0.000 2.399
Pt 7.647 0.000 0.620
Pt 9.495 1.409 2.399
CELL_PARAMETERS angstrom
10.350 0.000 0.000
0.000 2.818 0.000
-1.078 0.000 4.844
```

A plane-wave DFT calculation with PBE was carried out for an optimized crystal structure of CaMoPt. Values from VASP.

Structure (Quantum ESPRESSO input):
```
&SYSTEM
  ibrav = 0, nat = 12, ntyp = 3
/
ATOMIC_SPECIES
Ca 40.08 Ca.upf
Mo 95.94 Mo.upf
Pt 195.08 Pt.upf
ATOMIC_POSITIONS angstrom
Ca 1.071 1.419 0.000
Ca 1.071 2.534 3.671
Ca 3.214 5.372 3.671
Ca 3.214 6.486 0.000
Mo 1.071 4.641 1.194
Mo 1.071 7.218 4.864
Mo 3.214 0.688 4.864
Mo 3.214 3.265 1.194
Pt 1.071 4.830 5.951
Pt 1.071 7.028 2.280
Pt 3.214 0.877 2.280
Pt 3.214 3.075 5.951
CELL_PARAMETERS angstrom
4.286 0.000 0.000
0.000 7.906 0.000
0.000 0.000 7.341
```

A plane-wave DFT calculation with PBE was carried out for an optimized crystal structure of CaMoPt. Values from VASP.

Structure (Quantum ESPRESSO input):
```
&SYSTEM
  ibrav = 0, nat = 6, ntyp = 3
/
ATOMIC_SPECIES
Ca 40.08 Ca.upf
Mo 95.94 Mo.upf
Pt 195.08 Pt.upf
ATOMIC_POSITIONS angstrom
Ca 0.688 1.079 2.356
Ca 3.397 3.238 3.322
Mo 2.037 3.238 0.095
Mo 2.049 1.079 5.583
Pt -0.703 1.079 4.972
Pt 4.789 3.238 0.705
CELL_PARAMETERS angstrom
5.385 0.000 0.000
0.000 4.317 0.000
-1.300 0.000 5.678
```

A plane-wave DFT calculation with PBE was carried out for an optimized crystal structure of CaMoPt2. Values from VASP.

Structure (Quantum ESPRESSO input):
```
&SYSTEM
  ibrav = 0, nat = 12, ntyp = 3
/
ATOMIC_SPECIES
Ca 40.08 Ca.upf
Mo 95.94 Mo.upf
Pt 195.08 Pt.upf
ATOMIC_POSITIONS angstrom
Ca 0.000 0.000 0.000
Ca 0.000 1.680 18.944
Ca 1.455 0.840 9.472
Mo 0.000 0.000 14.208
Mo 0.000 1.680 4.736
Mo 1.455 0.840 23.680
Pt 0.000 0.000 6.988
Pt 0.000 0.000 21.428
Pt 0.000 1.680 11.956
Pt 0.000 1.680 25.931
Pt 1.455 0.840 2.484
Pt 1.455 0.840 16.459
CELL_PARAMETERS angstrom
2.910 0.000 0.000
-1.455 2.520 0.000
0.000 0.000 28.416
```

A plane-wave DFT calculation with PBE was carried out for an optimized crystal structure of CaMoPt. Values from VASP.

Structure (Quantum ESPRESSO input):
```
&SYSTEM
  ibrav = 0, nat = 12, ntyp = 3
/
ATOMIC_SPECIES
Ca 40.08 Ca.upf
Mo 95.94 Mo.upf
Pt 195.08 Pt.upf
ATOMIC_POSITIONS angstrom
Ca 0.391 0.965 1.344
Ca 3.434 2.896 5.507
Ca 4.216 0.965 2.819
Ca 7.259 2.896 6.982
Mo 0.740 0.965 4.522
Mo 3.085 2.896 0.359
Mo 4.565 0.965 7.967
Mo 6.910 2.896 3.804
Pt 1.896 0.965 7.028
Pt 1.929 2.896 2.865
Pt 5.721 0.965 5.461
Pt 5.754 2.896 1.298
CELL_PARAMETERS angstrom
7.650 0.000 0.000
0.000 3.862 0.000
0.000 0.000 8.326
```

A plane-wave DFT calculation with PBE was carried out for an optimized crystal structure of CaMoPt. Values from VASP.

Structure (Quantum ESPRESSO input):
```
&SYSTEM
  ibrav = 0, nat = 12, ntyp = 3
/
ATOMIC_SPECIES
Ca 40.08 Ca.upf
Mo 95.94 Mo.upf
Pt 195.08 Pt.upf
ATOMIC_POSITIONS angstrom
Ca 0.000 0.000 0.000
Ca 0.000 3.210 3.210
Ca 3.210 0.000 3.210
Ca 3.210 3.210 0.000
Mo 0.000 0.000 3.210
Mo 0.000 3.210 0.000
Mo 3.210 0.000 0.000
Mo 3.210 3.210 3.210
Pt 1.605 1.605 1.605
Pt 1.605 4.815 4.815
Pt 4.815 1.605 4.815
Pt 4.815 4.815 1.605
CELL_PARAMETERS angstrom
6.420 0.000 0.000
0.000 6.420 0.000
0.000 0.000 6.420
```

A plane-wave DFT calculation with PBE was carried out for an optimized crystal structure of CaMoPt. Values from VASP.

Structure (Quantum ESPRESSO input):
```
&SYSTEM
  ibrav = 0, nat = 12, ntyp = 3
/
ATOMIC_SPECIES
Ca 40.08 Ca.upf
Mo 95.94 Mo.upf
Pt 195.08 Pt.upf
ATOMIC_POSITIONS angstrom
Ca 0.000 0.000 0.000
Ca 0.000 3.694 1.035
Ca 2.262 0.000 4.805
Ca 2.262 3.694 3.769
Mo 0.000 2.538 5.518
Mo 0.000 4.849 5.518
Mo 2.262 1.156 1.749
Mo 2.262 6.231 1.749
Pt 0.000 1.431 3.090
Pt 0.000 5.956 3.090
Pt 2.262 2.262 6.859
Pt 2.262 5.125 6.859
CELL_PARAMETERS angstrom
4.523 0.000 0.000
0.000 7.387 0.000
0.000 0.000 7.538
```

A plane-wave DFT calculation with PBE was carried out for an optimized crystal structure of CaMo3Pt. Values from VASP.

Structure (Quantum ESPRESSO input):
```
&SYSTEM
  ibrav = 0, nat = 5, ntyp = 3
/
ATOMIC_SPECIES
Ca 40.08 Ca.upf
Mo 95.94 Mo.upf
Pt 195.08 Pt.upf
ATOMIC_POSITIONS angstrom
Ca 0.000 0.000 0.000
Mo 0.000 2.445 2.445
Mo 2.445 0.000 2.445
Mo 2.445 2.445 0.000
Pt 2.445 2.445 2.445
CELL_PARAMETERS angstrom
4.891 0.000 0.000
0.000 4.891 0.000
0.000 0.000 4.891
```

A plane-wave DFT calculation with PBE was carried out for an optimized crystal structure of CaMoPt2. Values from VASP.

Structure (Quantum ESPRESSO input):
```
&SYSTEM
  ibrav = 0, nat = 4, ntyp = 3
/
ATOMIC_SPECIES
Ca 40.08 Ca.upf
Mo 95.94 Mo.upf
Pt 195.08 Pt.upf
ATOMIC_POSITIONS angstrom
Ca 0.000 0.000 0.000
Mo 1.685 1.685 2.253
Pt 0.000 0.000 3.383
Pt 1.685 1.685 4.959
CELL_PARAMETERS angstrom
3.370 0.000 0.000
0.000 3.370 0.000
0.000 0.000 6.745
```

| no. | E (eV per atom) | total magnetization (μB per formula unit) |
| --- | --- | --- |
| 1 | -6.62 | 0.00 |
| 2 | -6.51 | 0.00 |
| 3 | -3.22 | 4.28 |
| 4 | -6.50 | 0.00 |
| 5 | -6.48 | 0.00 |
| 6 | -6.45 | 0.00 |
| 7 | -6.23 | 0.00 |
| 8 | -6.55 | 0.00 |
| 9 | -5.94 | 0.00 |
| 10 | -6.51 | 0.00 |
| 11 | -6.72 | 1.89 |
| 12 | -6.27 | 0.00 |